[1]
This record from Alexandria via LeMat-Bulk describes TcGePt after structural relaxation. The functional is PBE-GGA.

Computed properties:
The calculation puts the formation enthalpy at 0 K at -68.6 meV per atom. The magnetization comes out at 0.00 μB per formula unit.

Cell lengths 8.8971, 3.9400, 6.1178 Å; angles 90.00, 115.51, 90.00 degrees
Space group C2/m (No. 12)
One atom of each set of equivalent atoms:
1 Tc 0.1264 0.0000 0.2444
2 Ge 0.1536 0.0000 0.6667
3 Pt 0.1094 0.5000 0.9035

---

[2]
This record from Alexandria via LeMat-Bulk describes Tc3GePt after structural relaxation. The functional is PBE-GGA.

Computed properties:
The value obtained for the energy above the lowest structure with this stoichiometry is 579 meV/atom. The calculation puts the formation enthalpy at 0 K at 1907.0 meV per atom. The magnetization comes out at 3.63 μB per formula unit.

Cell lengths 4.7779, 4.7779, 4.7779 Å; angles 90.00, 90.00, 90.00 degrees
Space group Pm-3m (No. 221)
One atom of each set of equivalent atoms:
1 Tc 0.0000 0.0000 0.5000
2 Ge 0.5000 0.5000 0.5000
3 Pt 0.0000 0.0000 0.0000

---

[3]
This record from Alexandria via LeMat-Bulk describes TcGePt3 after structural relaxation. The functional is PBE-GGA.

Computed properties:
The value obtained for the energy above the lowest structure with this stoichiometry is 0 meV/atom. The calculation puts the formation enthalpy at 0 K at 852.0 meV per atom. The magnetization comes out at 4.40 μB per formula unit.

Cell lengths 4.6401, 4.6401, 4.6401 Å; angles 90.00, 90.00, 90.00 degrees
Space group Pm-3m (No. 221)
One atom of each set of equivalent atoms:
1 Tc 0.0000 0.0000 0.0000
2 Ge 0.5000 0.5000 0.5000
3 Pt 0.0000 0.5000 0.5000

---

[4]
This record from Alexandria via LeMat-Bulk describes TcGe3Pt after structural relaxation. The functional is PBE-GGA.

Computed properties:
The value obtained for the energy above the lowest structure with this stoichiometry is 728 meV/atom. The calculation puts the formation enthalpy at 0 K at 508.5 meV per atom. The magnetization comes out at 0.00 μB per formula unit.

Cell lengths 4.7406, 4.7406, 4.7406 Å; angles 90.00, 90.00, 90.00 degrees
Space group Pm-3m (No. 221)
One atom of each set of equivalent atoms:
1 Tc 0.0000 0.0000 0.0000
2 Ge 0.0000 0.0000 0.5000
3 Pt 0.5000 0.5000 0.5000

---

[5]
This record from Alexandria via LeMat-Bulk describes Tc2GePt after structural relaxation. The functional is PBE-GGA.

Computed properties:
The calculation puts the formation enthalpy at 0 K at 982.1 meV per atom. The magnetization comes out at 0.00 μB per formula unit.

Cell lengths 5.7215, 5.7215, 10.7706 Å; angles 90.00, 90.00, 90.00 degrees
Space group I-42d (No. 122)
One atom of each set of equivalent atoms:
1 Tc 0.2470 0.2500 0.1250
2 Ge 0.0000 0.0000 0.5000
3 Pt 0.0000 0.0000 0.0000

---

[6]
This record from Alexandria via LeMat-Bulk describes TcGe3Pt after structural relaxation. The functional is PBE-GGA.

Computed properties:
The value obtained for the energy above the lowest structure with this stoichiometry is 0 meV/atom. The calculation puts the formation enthalpy at 0 K at -219.8 meV per atom. The magnetization comes out at 0.00 μB per formula unit.

Cell lengths 6.7460, 3.2086, 8.0029 Å; angles 90.00, 101.77, 90.00 degrees
Space group P2_1/m (No. 11)
One atom of each set of equivalent atoms:
1 Tc 0.1262 0.2500 0.1298
2 Ge 0.0112 0.7500 0.3429
3 Ge 0.2603 0.7500 0.9395
4 Ge 0.4943 0.7500 0.7335
5 Pt 0.2935 0.2500 0.5127

---

For the records above, the corresponding Fermi-level density of states values read 10.5, 9.2, 3.4, 5.3, 11.4, 2.5 states/eV/cell.